{"formula": "LiYLuAl", "functional": "PBE", "state": "optimized geometry", "volume_a3_per_atom": 23.48, "e_tot_ev_per_atom": -4.38, "crystal_system": "cubic", "lattice": [[5.102, 0.000, 0.000], [2.551, 4.419, 0.000], [2.551, 1.473, 4.166]], "species": ["Al", "Lu", "Li", "Y"], "fractional_positions": [[0.000, 0.000, 0.000], [0.250, 0.250, 0.250], [0.500, 0.500, 0.500], [0.750, 0.750, 0.750]]}